[1]
Compound: Ac8In2Rh3
Source: the Alexandria database
Functional: PBE
Structure: optimized geometry

Structure (CIF):
```
data_Ac8In2Rh3
_symmetry_space_group_name_H-M 'P 1'
_symmetry_Int_Tables_number 1
_cell_length_a 9.397
_cell_length_b 9.397
_cell_length_c 7.553
_cell_angle_alpha 105.86
_cell_angle_beta 105.86
_cell_angle_gamma 54.64
loop_
_symmetry_equiv_pos_as_xyz
'x,y,z'
loop_
_atom_site_label
_atom_site_fract_x
_atom_site_fract_y
_atom_site_fract_z
Ac1 0.106 0.106 0.905
Ac2 0.138 0.658 0.603
Ac3 0.342 0.862 0.397
Ac4 0.384 0.384 0.044
Ac5 0.616 0.616 0.956
Ac6 0.658 0.138 0.603
Ac7 0.862 0.342 0.397
Ac8 0.894 0.894 0.095
In1 0.259 0.259 0.331
In2 0.741 0.741 0.669
Rh1 0.000 0.000 0.500
Rh2 0.253 0.747 0.000
Rh3 0.747 0.253 0.000
```

## Properties
energy relative to the elements	-5.3	eV per formula unit
E	-5.052	eV/atom

[2]
Compound: Ac2In3Rh4
Source: the Alexandria database
Functional: PBE
Structure: optimized geometry

Structure (CIF):
```
data_Ac2In3Rh4
_symmetry_space_group_name_H-M 'P 1'
_symmetry_Int_Tables_number 1
_cell_length_a 9.196
_cell_length_b 9.196
_cell_length_c 7.416
_cell_angle_alpha 90.00
_cell_angle_beta 90.00
_cell_angle_gamma 141.26
loop_
_symmetry_equiv_pos_as_xyz
'x,y,z'
loop_
_atom_site_label
_atom_site_fract_x
_atom_site_fract_y
_atom_site_fract_z
Ac1 0.104 0.896 0.918
Ac2 0.396 0.604 0.418
Ac3 0.604 0.396 0.582
Ac4 0.896 0.104 0.082
In1 0.000 0.000 0.500
In2 0.018 0.482 0.750
In3 0.482 0.018 0.250
In4 0.500 0.500 0.000
In5 0.518 0.982 0.750
In6 0.982 0.518 0.250
Rh1 0.167 0.833 0.528
Rh2 0.176 0.324 0.750
Rh3 0.324 0.176 0.250
Rh4 0.333 0.667 0.028
Rh5 0.667 0.333 0.972
Rh6 0.676 0.824 0.750
Rh7 0.824 0.676 0.250
Rh8 0.833 0.167 0.472
```

## Properties
energy relative to the elements	-5.5	eV per formula unit
E	-5.699	eV/atom

[3]
Compound: AcIn3Rh
Source: the Alexandria database
Functional: PBE
Structure: optimized geometry

Structure (CIF):
```
data_AcIn3Rh
_symmetry_space_group_name_H-M 'P 1'
_symmetry_Int_Tables_number 1
_cell_length_a 5.164
_cell_length_b 5.164
_cell_length_c 5.164
_cell_angle_alpha 90.00
_cell_angle_beta 90.00
_cell_angle_gamma 90.00
loop_
_symmetry_equiv_pos_as_xyz
'x,y,z'
loop_
_atom_site_label
_atom_site_fract_x
_atom_site_fract_y
_atom_site_fract_z
Ac1 0.000 0.000 0.000
In1 0.000 0.500 0.500
In2 0.500 0.000 0.500
In3 0.500 0.500 0.000
Rh1 0.500 0.500 0.500
```

## Properties
energy relative to the elements	-1.7	eV per formula unit
E	-4.275	eV/atom

[4]
Compound: AcIn2Rh3
Source: the Alexandria database
Functional: PBE
Structure: optimized geometry

Structure (CIF):
```
data_AcIn2Rh3
_symmetry_space_group_name_H-M 'P 1'
_symmetry_Int_Tables_number 1
_cell_length_a 4.598
_cell_length_b 4.598
_cell_length_c 13.394
_cell_angle_alpha 90.00
_cell_angle_beta 90.00
_cell_angle_gamma 120.00
loop_
_symmetry_equiv_pos_as_xyz
'x,y,z'
loop_
_atom_site_label
_atom_site_fract_x
_atom_site_fract_y
_atom_site_fract_z
Ac1 0.000 0.000 0.250
Ac2 0.000 0.000 0.750
In1 0.333 0.667 0.075
In2 0.333 0.667 0.425
In3 0.667 0.333 0.575
In4 0.667 0.333 0.925
Rh1 0.000 0.000 0.000
Rh2 0.000 0.000 0.500
Rh3 0.333 0.667 0.629
Rh4 0.333 0.667 0.871
Rh5 0.667 0.333 0.129
Rh6 0.667 0.333 0.371
```

## Properties
energy relative to the elements	-3.1	eV per formula unit
E	-5.790	eV/atom